1.
# Zn4Fe5

A PBEsol-optimized structure of Zn4Fe5 (SCAN, the Alexandria database).

Cell: 3.638 5.717 5.717 Å, 84.19 71.45 71.45°
Each line ends with the local moment (μB).
Sites, in units of the cell vectors:
Fe 0.336 0.000 0.328  2.59
Fe 0.664 0.000 0.672  2.59
Fe 0.000 0.000 0.000  2.56
Zn 0.325 0.675 0.675  -0.09
Zn 0.000 0.325 0.675  -0.09
Fe 0.664 0.672 0.000  2.59
Zn 0.675 0.325 0.325  -0.09
Fe 0.336 0.328 0.000  2.59
Zn 0.000 0.675 0.325  -0.09

Results
Crystal system: tetragonal

=====

2.
# ZrZn20Fe2

A PBEsol-optimized structure of ZrZn20Fe2 (SCAN, the Alexandria database).

Cell: 9.651 9.651 9.651 Å, 60.00 60.00 60.00°
Each line ends with the local moment (μB).
Sites, in units of the cell vectors:
Zn 0.919 0.450 0.450  0.02
Zn 0.364 0.364 0.636  0.05
Zn 0.331 0.800 0.800  0.02
Zn 0.636 0.364 0.364  0.05
Zn 0.181 0.450 0.919  0.02
Zn 0.886 0.614 0.886  0.05
Zn 0.800 0.800 0.331  0.02
Zn 0.636 0.364 0.636  0.05
Zn 0.919 0.181 0.450  0.02
Zn 0.450 0.181 0.450  0.02
Zn 0.800 0.800 0.069  0.02
Fe 0.625 0.125 0.625  -1.78
Zn 0.625 0.125 0.125  0.01
Zn 0.800 0.069 0.331  0.02
Zn 0.331 0.069 0.800  0.02
Zn 0.886 0.886 0.614  0.05
Fe 0.625 0.625 0.625  -1.78
Fe 0.125 0.625 0.625  -1.78
Zn 0.886 0.614 0.614  0.05
Zn 0.614 0.886 0.614  0.05
Zn 0.450 0.450 0.919  0.02
Zn 0.919 0.450 0.181  0.02
Zn 0.069 0.800 0.800  0.02
Zn 0.636 0.636 0.364  0.05
Fe 0.625 0.625 0.125  -1.78
Zn 0.800 0.069 0.800  0.02
Zn 0.069 0.800 0.331  0.02
Zn 0.614 0.614 0.886  0.05
Zn 0.181 0.450 0.450  0.02
Zn 0.364 0.636 0.636  0.05
Zn 0.450 0.919 0.450  0.02
Zn 0.331 0.800 0.069  0.02
Zn 0.800 0.331 0.069  0.02
Zn 0.125 0.125 0.625  0.01
Zn 0.069 0.331 0.800  0.02
Zr 0.000 0.000 0.000  0.20
Zn 0.125 0.625 0.125  0.01
Zn 0.800 0.331 0.800  0.02
Zr 0.250 0.250 0.250  0.20
Zn 0.614 0.886 0.886  0.05
Zn 0.364 0.636 0.364  0.05
Zn 0.450 0.181 0.919  0.02
Zn 0.125 0.125 0.125  0.01
Zn 0.450 0.450 0.181  0.02
Zn 0.181 0.919 0.450  0.02
Zn 0.450 0.919 0.181  0.02

Results
Crystal system: cubic

=====

3.
# Zr3Fe

A PBEsol-optimized structure of Zr3Fe (SCAN, the Alexandria database).

Cell: 3.183 3.183 7.323 Å, 90.00 90.00 90.00°
Each line ends with the local moment (μB).
Sites, in units of the cell vectors:
Fe 0.000 0.000 0.000  1.34
Zr 0.000 0.000 0.500  0.08
Zr 0.500 0.500 0.209  -0.20
Zr 0.500 0.500 0.791  -0.20

Results
Crystal system: tetragonal

=====

4.
# Zr2Fe

A PBEsol-optimized structure of Zr2Fe (SCAN, the Alexandria database).

Cell: 3.311 6.025 6.447 Å, 117.85 104.88 90.00°
Sites, in units of the cell vectors:
Zr 0.214 0.214 0.428
Zr 0.786 0.786 0.572
Fe 0.879 0.379 0.758
Zr 0.500 0.247 0.000
Zr 0.500 0.753 0.000
Fe 0.121 0.621 0.242

Results
Crystal system: orthorhombic

=====

5.
# Zr3Fe

A PBEsol-optimized structure of Zr3Fe (SCAN, the Alexandria database).

Cell: 3.857 6.361 6.361 Å, 104.31 90.00 90.00°
Sites, in units of the cell vectors:
Zr 0.250 0.112 0.888
Fe 0.750 0.295 0.705
Zr 0.750 0.888 0.112
Fe 0.250 0.705 0.295
Zr 0.750 0.815 0.572
Zr 0.750 0.428 0.185
Zr 0.250 0.185 0.428
Zr 0.250 0.572 0.815

Results
Crystal system: orthorhombic

=====

6.
# Zr2Fe

A PBEsol-optimized structure of Zr2Fe (SCAN, the Alexandria database).

Cell: 3.216 4.738 7.054 Å, 90.00 103.18 90.00°
Each line ends with the local moment (μB).
Sites, in units of the cell vectors:
Fe 0.576 0.250 0.153  1.22
Fe 0.424 0.750 0.847  1.22
Zr 0.074 0.750 0.148  -0.34
Zr 0.926 0.250 0.852  -0.34
Zr 0.774 0.750 0.548  -0.16
Zr 0.226 0.250 0.452  -0.16

Results
Crystal system: orthorhombic

=====

7.
# Zr3Fe

A PBEsol-optimized structure of Zr3Fe (SCAN, the Alexandria database).

Cell: 3.283 4.710 4.710 Å, 90.00 90.00 90.00°
Sites, in units of the cell vectors:
Zr 0.500 0.500 0.000
Zr 0.000 0.500 0.500
Fe 0.000 0.000 0.000
Zr 0.500 0.000 0.500

Results
Crystal system: tetragonal

=====

8.
# ZrFe4

A PBEsol-optimized structure of ZrFe4 (SCAN, the Alexandria database).

Cell: 2.969 4.876 4.876 Å, 84.68 72.27 72.27°
Each line ends with the local moment (μB).
Sites, in units of the cell vectors:
Fe 0.394 0.787 0.425  2.47
Fe 0.181 0.425 0.213  2.47
Fe 0.819 0.575 0.787  2.47
Fe 0.606 0.213 0.575  2.47
Zr 0.000 0.000 0.000  -0.61

Results
Crystal system: tetragonal

=====

Number 1: raw total energy -145.0 eV/cell, total moment 12.31 μB/f.u.. Number 2: raw total energy -680.9 eV/cell, total moment 2.61 μB/f.u.. Number 3: raw total energy -110.4 eV/cell, total moment 0.89 μB/f.u.. Number 4: raw total energy -159.2 eV/cell, total moment 0.00 μB/f.u.. Number 5: raw total energy -220.1 eV/cell, total moment 0.00 μB/f.u.. Number 6: raw total energy -159.4 eV/cell, total moment 0.43 μB/f.u.. Number 7: raw total energy -109.2 eV/cell, total moment 0.00 μB/f.u.. Number 8: raw total energy -103.2 eV/cell, total moment 8.85 μB/f.u..